No. 1
Entry from the Alexandria database: an optimized crystal structure of Hf2GaOs (PBE).

a b c (Å): 8.771 8.771 8.771
angles (deg): 20.93 20.93 20.93
Sites, in units of the cell vectors:
Hf: 0.246 0.246 0.246
Hf: 0.754 0.754 0.754
Ga: 0.000 0.000 0.000
Os: 0.500 0.500 0.500

Results
Total DFT energy (no corrections), eV per atom: -8.745
Calculated volume, Å³ per atom: 18.85


No. 2
Entry from the Alexandria database: an optimized crystal structure of Hf4Ga5Os (PBE).

a b c (Å): 6.426 6.426 6.426
angles (deg): 101.11 101.11 127.93
Sites, in units of the cell vectors:
Hf: 0.063 0.299 0.363
Hf: 0.299 0.937 0.236
Hf: 0.701 0.063 0.764
Hf: 0.937 0.701 0.637
Ga: 0.254 0.254 0.000
Ga: 0.268 0.601 0.847
Ga: 0.421 0.268 0.667
Ga: 0.601 0.754 0.333
Ga: 0.754 0.421 0.153
Os: 0.809 0.809 0.000

Results
Total DFT energy (no corrections), eV per atom: -6.872
Calculated volume, Å³ per atom: 18.81


No. 3
Entry from the Alexandria database: an optimized crystal structure of HfGa2Os2 (PBE).

a b c (Å): 7.224 7.224 7.224
angles (deg): 152.04 152.04 39.96
Sites, in units of the cell vectors:
Hf: 0.000 0.000 0.000
Ga: 0.250 0.750 0.500
Ga: 0.750 0.250 0.500
Os: 0.393 0.393 0.000
Os: 0.607 0.607 0.000

Results
Energy relative to the lowest polymorph listed for this composition, meV/atom: 19
Calculated volume, Å³ per atom: 16.54


No. 4
Entry from the Alexandria database: an optimized crystal structure of Hf2Ga2Os (PBE).

a b c (Å): 6.733 6.733 3.778
angles (deg): 90.00 90.00 90.00
Sites, in units of the cell vectors:
Hf: 0.174 0.326 0.000
Hf: 0.326 0.826 0.000
Hf: 0.674 0.174 0.000
Hf: 0.826 0.674 0.000
Ga: 0.131 0.631 0.500
Ga: 0.369 0.131 0.500
Ga: 0.631 0.869 0.500
Ga: 0.869 0.369 0.500
Os: 0.000 0.000 0.500
Os: 0.500 0.500 0.500

Results
Energy relative to the lowest polymorph listed for this composition, meV/atom: 12
Calculated volume, Å³ per atom: 17.13


No. 5
Entry from the Alexandria database: an optimized crystal structure of HfGaOs (PBE).

a b c (Å): 4.368 4.368 3.110
angles (deg): 90.00 90.00 120.00
Sites, in units of the cell vectors:
Hf: 0.000 0.000 0.000
Ga: 0.667 0.333 0.522
Os: 0.333 0.667 0.568

Results
Total DFT energy (no corrections), eV per atom: -8.421
Calculated volume, Å³ per atom: 17.13


No. 6
Entry from the Alexandria database: an optimized crystal structure of Hf2GaOs2 (PBE).

a b c (Å): 7.499 7.499 3.248
angles (deg): 90.00 90.00 90.00
Sites, in units of the cell vectors:
Hf: 0.157 0.343 0.000
Hf: 0.343 0.843 0.000
Hf: 0.657 0.157 0.000
Hf: 0.843 0.657 0.000
Ga: 0.000 0.000 0.500
Ga: 0.500 0.500 0.500
Os: 0.143 0.643 0.500
Os: 0.357 0.143 0.500
Os: 0.643 0.857 0.500
Os: 0.857 0.357 0.500

Results
Energy relative to the lowest polymorph listed for this composition, meV/atom: 0
Calculated volume, Å³ per atom: 18.27


No. 7
Entry from the Alexandria database: an optimized crystal structure of HfGaOs (PBE).

a b c (Å): 8.915 3.283 7.089
angles (deg): 90.00 90.00 90.00
Sites, in units of the cell vectors:
Hf: 0.103 0.250 0.155
Hf: 0.397 0.750 0.655
Hf: 0.603 0.250 0.345
Hf: 0.897 0.750 0.845
Ga: 0.115 0.750 0.486
Ga: 0.385 0.250 0.986
Ga: 0.615 0.750 0.014
Ga: 0.885 0.250 0.514
Os: 0.142 0.250 0.774
Os: 0.358 0.750 0.274
Os: 0.642 0.250 0.726
Os: 0.858 0.750 0.226

Results
Total DFT energy (no corrections), eV per atom: -8.386
Calculated volume, Å³ per atom: 17.29


No. 8
Entry from the Alexandria database: an optimized crystal structure of Hf6GaOs5 (PBE).

a b c (Å): 8.013 8.013 8.013
angles (deg): 146.42 131.96 59.89
Sites, in units of the cell vectors:
Hf: 0.080 0.332 0.748
Hf: 0.246 0.000 0.246
Hf: 0.417 0.668 0.748
Hf: 0.583 0.332 0.252
Hf: 0.754 0.000 0.754
Hf: 0.920 0.668 0.252
Ga: 0.500 0.500 0.000
Os: 0.000 0.500 0.500
Os: 0.167 0.167 0.000
Os: 0.334 0.834 0.500
Os: 0.666 0.166 0.500
Os: 0.833 0.833 0.000

Results
Total DFT energy (no corrections), eV per atom: -10.521
Calculated volume, Å³ per atom: 17.48


No. 9
Entry from the Alexandria database: an optimized crystal structure of Hf8Ga2Os (PBE).

a b c (Å): 8.872 8.872 6.071
angles (deg): 100.62 100.62 29.06
Sites, in units of the cell vectors:
Hf: 0.016 0.016 0.259
Hf: 0.218 0.218 0.842
Hf: 0.348 0.348 0.479
Hf: 0.405 0.405 0.002
Hf: 0.595 0.595 0.998
Hf: 0.652 0.652 0.521
Hf: 0.782 0.782 0.158
Hf: 0.984 0.984 0.741
Ga: 0.183 0.183 0.277
Ga: 0.817 0.817 0.723
Os: 0.500 0.500 0.500

Results
Total DFT energy (no corrections), eV per atom: -9.020
Calculated volume, Å³ per atom: 20.72


No. 10
Entry from the Alexandria database: an optimized crystal structure of Hf2GaOs2 (PBE).

a b c (Å): 7.769 7.769 3.114
angles (deg): 90.00 90.00 90.00
Sites, in units of the cell vectors:
Hf: 0.148 0.352 0.000
Hf: 0.352 0.852 0.000
Hf: 0.648 0.148 0.000
Hf: 0.852 0.648 0.000
Ga: 0.000 0.000 0.000
Ga: 0.500 0.500 0.000
Os: 0.146 0.646 0.500
Os: 0.354 0.146 0.500
Os: 0.646 0.854 0.500
Os: 0.854 0.354 0.500

Results
Energy relative to the lowest polymorph listed for this composition, meV/atom: 200
Calculated volume, Å³ per atom: 18.79


No. 11
Entry from the Alexandria database: an optimized crystal structure of HfGa2Os (PBE).

a b c (Å): 4.479 4.479 4.479
angles (deg): 60.00 60.00 60.00
Sites, in units of the cell vectors:
Hf: 0.000 0.000 0.000
Ga: 0.250 0.250 0.250
Ga: 0.750 0.750 0.750
Os: 0.500 0.500 0.500

Results
Energy relative to the lowest polymorph listed for this composition, meV/atom: 0
Calculated volume, Å³ per atom: 15.89


No. 12
Entry from the Alexandria database: an optimized crystal structure of HfGa3Os (PBE).

a b c (Å): 4.736 4.736 4.736
angles (deg): 90.00 90.00 90.00
Sites, in units of the cell vectors:
Hf: 0.000 0.000 0.000
Ga: 0.000 0.500 0.500
Ga: 0.500 0.000 0.500
Ga: 0.500 0.500 0.000
Os: 0.500 0.500 0.500

Results
Energy relative to the lowest polymorph listed for this composition, meV/atom: 0
Calculated volume, Å³ per atom: 21.25